The following is a GGA-PBE calculation of an optimized crystal structure of Rb2UTiS5, from Alexandria via LeMat-Bulk.

Structure (POSCAR):
```
Rb2UTiS5
1.0
4.1421 0.0000 0.0000
-2.0711 9.4294 0.0000
0.0000 0.0000 14.1792
Rb Ti S U
4 2 10 2
Direct
0.8811 0.7623 0.1781
0.8693 0.7387 0.8286
0.1189 0.2377 0.6781
0.1307 0.2613 0.3286
0.5633 0.1266 0.9315
0.4367 0.8734 0.4315
0.3309 0.6617 0.0062
0.4912 0.9825 0.2969
0.6691 0.3383 0.5062
0.6964 0.3928 0.1454
0.5088 0.0175 0.7969
0.3036 0.6072 0.6454
0.0510 0.1021 0.0125
0.6845 0.3691 0.8977
0.3155 0.6309 0.3977
0.9490 0.8979 0.5125
0.2007 0.4014 0.0272
0.7993 0.5986 0.5272
```

Calculated values
Density of states at the Fermi level   12.42 states/eV per cell
ΔE_f (raw)   -1.32 eV per atom
Space-group type   No. 36



The following is a GGA-PBE calculation of an optimized crystal structure of RbTi2VS, from Alexandria via LeMat-Bulk.

Structure (POSCAR):
```
RbTi2VS
1.0
4.7835 0.0000 0.0000
0.0000 4.4131 0.0000
0.0000 0.0000 4.7835
Ti S V Rb
2 1 1 1
Direct
0.5000 0.0000 0.0000
0.0000 0.0000 0.5000
0.5000 0.5000 0.5000
0.0000 0.5000 0.0000
0.0000 0.0000 0.0000
```

Calculated values
Density of states at the Fermi level   6.03 states/eV per cell
ΔE_f (raw)   2.35 eV per atom
Space-group type   No. 123



The following is a GGA-PBE calculation of an optimized crystal structure of Rb4Y3TiS8, from Alexandria via LeMat-Bulk.

Structure (POSCAR):
```
Rb4Y3TiS8
1.0
7.9958 0.0000 0.0000
0.0000 8.9228 0.6429
-3.9979 -3.9912 5.6588
Y Rb S Ti
3 4 8 1
Direct
0.5000 0.5000 0.0000
0.5000 0.5000 0.5000
0.0000 0.5000 0.5000
0.5000 0.0000 0.5000
0.0000 0.0000 0.5000
0.5000 0.0000 0.0000
0.0000 0.0000 0.0000
0.7474 0.6864 0.9669
0.7804 0.3135 0.5608
0.2526 0.3136 0.0331
0.7317 0.6950 0.4634
0.2196 0.6864 0.9669
0.2683 0.3050 0.5366
0.2196 0.6865 0.4392
0.7804 0.3136 0.0331
0.0000 0.5000 0.0000
```

Calculated values
Density of states at the Fermi level   6.20 states/eV per cell
ΔE_f (raw)   -1.68 eV per atom
Space-group type   No. 166



The following is a GGA-PBE calculation of an optimized crystal structure of RbYTiS4, from Alexandria via LeMat-Bulk.

Structure (POSCAR):
```
RbYTiS4
1.0
6.6403 0.0000 -0.1012
0.0000 6.8160 0.0000
-2.7335 0.0000 8.7415
Ti S Rb Y
2 8 2 2
Direct
0.2386 0.7500 0.3365
0.7614 0.2500 0.6635
0.4448 0.7500 0.1835
0.9999 0.4981 0.3032
0.0001 0.5019 0.6968
0.4530 0.7500 0.5764
0.9999 0.0019 0.3032
0.0001 0.9981 0.6968
0.5552 0.2500 0.8165
0.5470 0.2500 0.4236
0.7324 0.7500 0.9401
0.2676 0.2500 0.0599
0.2111 0.2500 0.5459
0.7889 0.7500 0.4541
```

Calculated values
Density of states at the Fermi level   0.00 states/eV per cell
ΔE_f (raw)   -1.60 eV per atom
Space-group type   No. 11



The following is a GGA-PBE calculation of an optimized crystal structure of Rb2ZrTiS5, from Alexandria via LeMat-Bulk.

Structure (POSCAR):
```
Rb2ZrTiS5
1.0
-3.7698 -1.0698 -0.2210
3.9896 -7.7850 4.4844
-2.4336 5.9824 12.5507
S Zr Rb Ti
10 2 4 2
Direct
0.3020 0.6039 0.6432
0.5133 0.0266 0.8021
0.6873 0.3746 0.8937
0.3295 0.6591 0.0010
0.6980 0.3961 0.1432
0.6705 0.3409 0.5010
0.0577 0.1155 0.0217
0.4867 0.9734 0.3021
0.9423 0.8845 0.5217
0.3127 0.6254 0.3937
0.7903 0.5807 0.5296
0.2097 0.4193 0.0296
0.8741 0.7482 0.1799
0.8712 0.7424 0.8205
0.1288 0.2576 0.3205
0.1259 0.2518 0.6799
0.5721 0.1442 0.9323
0.4279 0.8558 0.4323
```

Calculated values
Density of states at the Fermi level   0.00 states/eV per cell
ΔE_f (raw)   -1.38 eV per atom
Space-group type   No. 36



The following is a GGA-PBE calculation of an optimized crystal structure of RbTl4S2, from Alexandria via LeMat-Bulk.

Structure (POSCAR):
```
RbTl4S2
1.0
5.1566 0.0000 0.0000
0.0000 9.3204 0.0000
0.0000 0.0000 9.3204
S Tl Rb
4 8 2
Direct
0.5000 0.6941 0.6941
0.0000 0.1941 0.8059
0.5000 0.3059 0.3059
0.0000 0.8059 0.1941
0.5000 0.4137 0.8315
0.5000 0.8315 0.4137
0.5000 0.1685 0.5863
0.0000 0.0863 0.3315
0.0000 0.3315 0.0863
0.5000 0.5863 0.1685
0.0000 0.6685 0.9137
0.0000 0.9137 0.6685
0.0000 0.5000 0.5000
0.5000 0.0000 0.0000
```

Calculated values
Density of states at the Fermi level   2.80 states/eV per cell
ΔE_f (raw)   -0.35 eV per atom
Space-group type   No. 136



The following is a GGA-PBE calculation of an optimized crystal structure of RbTl2S2, from Alexandria via LeMat-Bulk.

Structure (POSCAR):
```
RbTl2S2
1.0
-5.9537 -0.8183 3.1761
-1.3265 -8.2995 1.8449
6.5638 5.3555 3.1754
Tl S Rb
4 4 2
Direct
0.1267 0.1267 0.7534
0.8733 0.8733 0.2466
0.5482 0.2653 0.5000
0.4518 0.7347 0.5000
0.8003 0.7978 0.5000
0.3460 0.3460 0.1920
0.1997 0.2022 0.5000
0.6540 0.6540 0.8080
0.8230 0.3230 0.1461
0.1770 0.6770 0.8539
```

Calculated values
Energy above the lowest structure with this stoichiometry   106 meV/atom
Density of states at the Fermi level   3.69 states/eV per cell
ΔE_f (raw)   -0.42 eV per atom
Space-group type   No. 12



The following is a GGA-PBE calculation of an optimized crystal structure of Rb3TlS, from Alexandria via LeMat-Bulk.

Structure (POSCAR):
```
Rb3TlS
1.0
-6.3903 -0.8201 0.0086
0.5933 -4.5761 4.4963
-0.5662 4.4605 4.6144
Rb Tl S
3 1 1
Direct
0.0000 0.5000 0.0000
0.5000 0.0000 0.0000
0.0000 0.0000 0.5000
0.5000 0.5000 0.5000
0.0000 0.0000 0.0000
```

Calculated values
Energy above the lowest structure with this stoichiometry   0 meV/atom
Density of states at the Fermi level   4.29 states/eV per cell
ΔE_f (raw)   -0.39 eV per atom
Space-group type   No. 221